This record from Alexandria describes Cs2NbV3F12 after structural relaxation. The functional is PBE with a Hubbard U.

abc: 7.6712 7.6712 7.6712
angles: 60.43 60.43 60.43
Fractional positions:
Cs: 0.1099 0.1099 0.1099
Cs: 0.8901 0.8901 0.8901
Nb: 0.5000 0.5000 0.5000
V: 0.0000 0.5000 0.5000
V: 0.5000 0.0000 0.5000
V: 0.5000 0.5000 0.0000
F: 0.1803 0.1803 0.5769
F: 0.1803 0.5769 0.1803
F: 0.1810 0.5739 0.5739
F: 0.4231 0.8197 0.8197
F: 0.4261 0.4261 0.8190
F: 0.4261 0.8190 0.4261
F: 0.5739 0.1810 0.5739
F: 0.5739 0.5739 0.1810
F: 0.5769 0.1803 0.1803
F: 0.8190 0.4261 0.4261
F: 0.8197 0.4231 0.8197
F: 0.8197 0.8197 0.4231

Computed properties:
magnetization	0.556	μB/atom
space group	R-3m, No. 166
total energy	-107.08	eV for the cell shown